## Zr3Be4Co4 (PBE)

Data for Zr3Be4Co4 after structural relaxation.

Unit cell a=5.694 b=5.694 c=5.694 alpha=109.47 beta=109.47 gamma=109.47
Sites, in units of the cell vectors:
Zr 0.500 0.500 0.000
Zr 0.000 0.500 0.500
Zr 0.500 0.000 0.500
Co 0.000 0.592 0.000
Co 0.000 0.000 0.592
Co 0.408 0.408 0.408
Co 0.592 0.000 0.000
Be 0.773 0.773 0.773
Be 0.227 0.000 0.000
Be 0.000 0.000 0.227
Be 0.000 0.227 0.000

Calculated values
Space group: I-43m
E_form, eV/atom: -0.1882
Fermi-level density of states, states/eV per atom: 0.768
Final energy, eV per cell: -71.0
Volume, Å³/f.u.: 142.1



## ZrBe2Co (PBE)

Data for ZrBe2Co after structural relaxation.

Unit cell a=3.717 b=3.717 c=4.796 alpha=67.18 beta=67.18 gamma=60.09
Sites, in units of the cell vectors:
Be 0.951 0.951 0.149
Be 0.246 0.246 0.261
Co 0.551 0.551 0.347
Zr 0.752 0.752 0.743

Calculated values
Space group: Cm
E_form, eV/atom: -0.1855
Fermi-level density of states, states/eV per atom: 0.823
Final energy, eV per cell: -23.8
Volume, Å³/f.u.: 51.4



## ZrBe2Co (PBE)

Data for ZrBe2Co after structural relaxation.

Unit cell a=3.503 b=2.921 c=5.050 alpha=73.33 beta=90.00 gamma=90.00
Sites, in units of the cell vectors:
Co 0.000 0.488 0.400
Be 0.500 0.058 0.262
Be 0.000 0.160 0.052
Zr 0.500 0.793 0.786

Calculated values
Space group: Pm
E_form, eV/atom: -0.0942
Fermi-level density of states, states/eV per atom: 0.540
Final energy, eV per cell: -23.5
Volume, Å³/f.u.: 49.5



Question: The lowest Fermi-level density of states belongs to which entry?
Answer: number 3